Record 1
DFT (PBE-GGA) results for crystalline UPI at its relaxed geometry.

Computed properties:
- Energy above the lowest structure with this stoichiometry: 245 meV per atom
- Space group: C2/m, No. 12
- Calculated volume: 36.4 A^3/atom
- Raw formation energy: -0.5527 eV per atom

abc: 4.648 8.733 11.075
angles: 95.87 102.11 90.00
Fractional positions:
I1 0.103 0.347 0.205
I2 0.422 0.163 0.844
I3 0.578 0.837 0.156
I4 0.897 0.653 0.795
P1 0.242 0.622 0.484
P2 0.753 0.873 0.507
P3 0.758 0.378 0.516
P4 0.247 0.127 0.493
U1 0.320 0.401 0.640
U2 0.687 0.112 0.373
U3 0.680 0.599 0.360
U4 0.313 0.888 0.627



Record 2
DFT (PBE-GGA) results for crystalline V2PI at its relaxed geometry.

Computed properties:
- Space group: I-42d, No. 122
- Calculated volume: 25.6 A^3/atom
- Raw formation energy: 0.1777 eV per atom

abc: 5.822 5.822 7.315
angles: 66.55 66.55 90.00
Fractional positions:
I1 0.000 0.000 0.000
I2 0.750 0.250 0.500
P1 0.500 0.500 0.000
P2 0.250 0.750 0.500
V1 0.559 0.125 0.250
V2 0.191 0.625 0.250
V3 0.375 0.441 0.750
V4 0.875 0.809 0.750



Record 3
DFT (PBE-GGA) results for crystalline V3PI at its relaxed geometry.

Computed properties:
- Energy above the lowest structure with this stoichiometry: 1201 meV per atom
- Space group: Pm-3m, No. 221
- Calculated volume: 24.4 A^3/atom
- Raw formation energy: 1.7094 eV per atom

abc: 4.959 4.959 4.959
angles: 90.00 90.00 90.00
Fractional positions:
I1 0.000 0.000 0.000
P1 0.500 0.500 0.500
V1 0.000 0.500 0.000
V2 0.000 0.000 0.500
V3 0.500 0.000 0.000



Record 4
DFT (PBE-GGA) results for crystalline VPI2 at its relaxed geometry.

Computed properties:
- Energy above the lowest structure with this stoichiometry: 768 meV per atom
- Space group: Fm-3m, No. 225
- Calculated volume: 22.7 A^3/atom
- Raw formation energy: 0.8147 eV per atom

abc: 5.044 5.044 5.044
angles: 60.00 60.00 60.00
Fractional positions:
I1 0.250 0.250 0.250
I2 0.750 0.750 0.750
P1 0.000 0.000 0.000
V1 0.500 0.500 0.500



Record 5
DFT (PBE-GGA) results for crystalline VPI3 at its relaxed geometry.

Computed properties:
- Energy above the lowest structure with this stoichiometry: 191 meV per atom
- Space group: Pm-3m, No. 221
- Calculated volume: 33.3 A^3/atom
- Raw formation energy: 0.6978 eV per atom

abc: 5.501 5.501 5.501
angles: 90.00 90.00 90.00
Fractional positions:
I1 0.000 0.500 0.000
I2 0.000 0.000 0.500
I3 0.500 0.000 0.000
P1 0.000 0.000 0.000
V1 0.500 0.500 0.500



Record 6
DFT (PBE-GGA) results for crystalline VP2I at its relaxed geometry.

Computed properties:
- Energy above the lowest structure with this stoichiometry: 0 meV per atom
- Space group: I-42d, No. 122
- Calculated volume: 26.6 A^3/atom
- Raw formation energy: 0.4002 eV per atom

abc: 6.176 6.176 7.085
angles: 64.16 64.16 90.00
Fractional positions:
I1 0.000 0.000 0.000
I2 0.750 0.250 0.500
P1 0.515 0.125 0.250
P2 0.235 0.625 0.250
P3 0.375 0.485 0.750
P4 0.875 0.765 0.750
V1 0.500 0.500 0.000
V2 0.250 0.750 0.500



Record 7
DFT (PBE-GGA) results for crystalline V2PI at its relaxed geometry.

Computed properties:
- Space group: Fm-3m, No. 225
- Calculated volume: 15.7 A^3/atom
- Raw formation energy: 0.2900 eV per atom

abc: 4.466 4.466 4.466
angles: 60.00 60.00 60.00
Fractional positions:
I1 0.500 0.500 0.500
P1 0.000 0.000 0.000
V1 0.250 0.250 0.250
V2 0.750 0.750 0.750



Record 8
DFT (PBE-GGA) results for crystalline V3PI at its relaxed geometry.

Computed properties:
- Energy above the lowest structure with this stoichiometry: 0 meV per atom
- Space group: Pm-3m, No. 221
- Calculated volume: 18.6 A^3/atom
- Raw formation energy: 0.5089 eV per atom

abc: 4.529 4.529 4.529
angles: 90.00 90.00 90.00
Fractional positions:
I1 0.500 0.500 0.500
P1 0.000 0.000 0.000
V1 0.000 0.500 0.000
V2 0.000 0.000 0.500
V3 0.500 0.000 0.000



Record 9
DFT (PBE-GGA) results for crystalline VPI at its relaxed geometry.

Computed properties:
- Space group: P-1, No. 2
- Calculated volume: 24.4 A^3/atom
- Raw formation energy: -0.4156 eV per atom

abc: 3.392 4.458 10.485
angles: 91.72 89.62 112.36
Fractional positions:
I1 0.374 0.736 0.188
I2 0.626 0.264 0.812
P1 0.638 0.274 0.448
P2 0.362 0.726 0.552
V1 0.071 0.146 0.611
V2 0.929 0.854 0.389



M_tot list, top to bottom, in μB/f.u.: 0.078; 5.997; 8.977; 1.920; 4.020; 0.000; 1.877; 5.401; 0.000